P.
# CaPmAu4, relaxed, DFT PBE-GGA
data_CaPmAu4
_space_group_name_H-M_alt 'F -4 3 m'
_space_group_IT_number 216
_space_group_name_Hall 'F -4 2 3'
_cell_length_a 8.0858
_cell_length_b 8.0858
_cell_length_c 8.0858
_cell_angle_alpha 90.00
_cell_angle_beta 90.00
_cell_angle_gamma 90.00
loop_
_atom_site_label
_atom_site_type_symbol
_atom_site_fract_x
_atom_site_fract_y
_atom_site_fract_z
Ca1 Ca 0.0000 0.0000 0.0000
Pm1 Pm 0.2500 0.2500 0.7500
Au1 Au 0.1255 0.1255 0.3745
# Size of the total moment (μB/cell): 0.00

Q.
# CaPmAu4, relaxed, DFT PBE-GGA
data_CaPmAu4
_space_group_name_H-M_alt 'P 1 2/m 1'
_space_group_IT_number 10
_space_group_name_Hall '-P 2y'
_cell_length_a 5.5436
_cell_length_b 4.3039
_cell_length_c 6.9761
_cell_angle_alpha 90.00
_cell_angle_beta 108.54
_cell_angle_gamma 90.00
loop_
_atom_site_label
_atom_site_type_symbol
_atom_site_fract_x
_atom_site_fract_y
_atom_site_fract_z
Ca1 Ca 0.0000 0.0000 0.0000
Pm1 Pm 0.5000 0.5000 0.5000
Au1 Au 0.0666 0.5000 0.7174
Au2 Au 0.4331 0.0000 0.7834
# Size of the total moment (μB/cell): 0.00

Energy relative to the most stable one, in eV/atom: P 0.005; Q 0.000

P.
# CaPmAu3, relaxed, DFT PBE-GGA
data_CaPmAu3
_space_group_name_H-M_alt 'C m c m'
_space_group_IT_number 63
_space_group_name_Hall '-C 2c 2'
_cell_length_a 3.6828
_cell_length_b 28.1819
_cell_length_c 4.6685
_cell_angle_alpha 90.00
_cell_angle_beta 90.00
_cell_angle_gamma 90.00
loop_
_atom_site_label
_atom_site_type_symbol
_atom_site_fract_x
_atom_site_fract_y
_atom_site_fract_z
Ca1 Ca 0.0000 0.2077 0.2500
Pm1 Pm 0.0000 0.0726 0.7500
Au1 Au 0.0000 0.3201 0.2500
Au2 Au 0.0000 0.3785 0.7500
Au3 Au 0.0000 0.4754 0.7500
# Size of the total moment (μB/cell): 0.00

Q.
# CaPmAu3, relaxed, DFT PBE-GGA
data_CaPmAu3
_space_group_name_H-M_alt 'P 1 21/c 1'
_space_group_IT_number 14
_space_group_name_Hall '-P 2ybc'
_cell_length_a 8.0970
_cell_length_b 5.5290
_cell_length_c 11.3660
_cell_angle_alpha 90.00
_cell_angle_beta 107.94
_cell_angle_gamma 90.00
loop_
_atom_site_label
_atom_site_type_symbol
_atom_site_fract_x
_atom_site_fract_y
_atom_site_fract_z
Ca1 Ca 0.0925 0.1897 0.1646
Pm1 Pm 0.3789 0.7433 0.3960
Au1 Au 0.1543 0.6899 0.1037
Au2 Au 0.2139 0.2410 0.4419
Au3 Au 0.4820 0.2482 0.3215
# Size of the total moment (μB/cell): 0.00

Energy relative to the most stable one, in eV/atom: P 0.000; Q 0.052

P.
# CaPmRhAu, relaxed, DFT PBE-GGA
data_CaPmRhAu
_space_group_name_H-M_alt 'A m m 2'
_space_group_IT_number 38
_space_group_name_Hall 'A 2 -2'
_cell_length_a 4.3016
_cell_length_b 3.9595
_cell_length_c 11.2742
_cell_angle_alpha 90.00
_cell_angle_beta 90.00
_cell_angle_gamma 90.00
loop_
_atom_site_label
_atom_site_type_symbol
_atom_site_fract_x
_atom_site_fract_y
_atom_site_fract_z
Ca1 Ca 0.0000 0.0000 0.0000
Pm1 Pm 0.5000 0.0000 0.7170
Rh1 Rh 0.0000 0.0000 0.2685
Au1 Au 0.5000 0.0000 0.4366
# Size of the total moment (μB/cell): 0.00

Q.
# CaPmRhAu, relaxed, DFT PBE-GGA
data_CaPmRhAu
_space_group_name_H-M_alt 'F -4 3 m'
_space_group_IT_number 216
_space_group_name_Hall 'F -4 2 3'
_cell_length_a 7.1282
_cell_length_b 7.1282
_cell_length_c 7.1282
_cell_angle_alpha 90.00
_cell_angle_beta 90.00
_cell_angle_gamma 90.00
loop_
_atom_site_label
_atom_site_type_symbol
_atom_site_fract_x
_atom_site_fract_y
_atom_site_fract_z
Ca1 Ca 0.0000 0.0000 0.0000
Pm1 Pm 0.0000 0.0000 0.5000
Rh1 Rh 0.2500 0.2500 0.2500
Au1 Au 0.2500 0.2500 0.7500
# Size of the total moment (μB/cell): 0.00

Energy relative to the most stable one, in eV/atom: P 0.000; Q 0.047

P.
# CaPrAu4, relaxed, DFT PBE-GGA
data_CaPrAu4
_space_group_name_H-M_alt 'F -4 3 m'
_space_group_IT_number 216
_space_group_name_Hall 'F -4 2 3'
_cell_length_a 8.1214
_cell_length_b 8.1214
_cell_length_c 8.1214
_cell_angle_alpha 90.00
_cell_angle_beta 90.00
_cell_angle_gamma 90.00
loop_
_atom_site_label
_atom_site_type_symbol
_atom_site_fract_x
_atom_site_fract_y
_atom_site_fract_z
Ca1 Ca 0.0000 0.0000 0.0000
Pr1 Pr 0.2500 0.2500 0.2500
Au1 Au 0.1256 0.1256 0.6256
# Size of the total moment (μB/cell): 0.00

Q.
# CaPrAu4, relaxed, DFT PBE-GGA
data_CaPrAu4
_space_group_name_H-M_alt 'P 1 2/m 1'
_space_group_IT_number 10
_space_group_name_Hall '-P 2y'
_cell_length_a 4.8414
_cell_length_b 3.5863
_cell_length_c 8.1645
_cell_angle_alpha 90.00
_cell_angle_beta 91.51
_cell_angle_gamma 90.00
loop_
_atom_site_label
_atom_site_type_symbol
_atom_site_fract_x
_atom_site_fract_y
_atom_site_fract_z
Ca1 Ca 0.0000 0.0000 0.0000
Pr1 Pr 0.5000 0.0000 0.5000
Au1 Au 0.0029 0.5000 0.3300
Au2 Au 0.4959 0.5000 0.1680
# Size of the total moment (μB/cell): 0.00

Energy relative to the most stable one, in eV/atom: P 0.150; Q 0.000

P.
# CaPrAu, relaxed, DFT PBE-GGA
data_CaPrAu
_space_group_name_H-M_alt 'P 3 m 1'
_space_group_IT_number 156
_space_group_name_Hall 'P 3 -2"'
_cell_length_a 4.9990
_cell_length_b 4.9990
_cell_length_c 4.0964
_cell_angle_alpha 90.00
_cell_angle_beta 90.00
_cell_angle_gamma 120.00
loop_
_atom_site_label
_atom_site_type_symbol
_atom_site_fract_x
_atom_site_fract_y
_atom_site_fract_z
Ca1 Ca 0.0000 0.0000 0.0000
Pr1 Pr 0.3333 0.6667 0.5244
Au1 Au 0.6667 0.3333 0.2374
# Size of the total moment (μB/cell): 0.00

Q.
# CaPrAu, relaxed, DFT PBE-GGA
data_CaPrAu
_space_group_name_H-M_alt 'C m c m'
_space_group_IT_number 63
_space_group_name_Hall '-C 2c 2'
_cell_length_a 5.2496
_cell_length_b 13.0792
_cell_length_c 5.2773
_cell_angle_alpha 90.00
_cell_angle_beta 90.00
_cell_angle_gamma 90.00
loop_
_atom_site_label
_atom_site_type_symbol
_atom_site_fract_x
_atom_site_fract_y
_atom_site_fract_z
Ca1 Ca 0.0000 0.1127 0.2500
Pr1 Pr 0.0000 0.3823 0.2500
Au1 Au 0.0000 0.2530 0.7500
# Size of the total moment (μB/cell): 0.00

R.
# CaPrAu, relaxed, DFT PBE-GGA
data_CaPrAu
_space_group_name_H-M_alt 'F -4 3 m'
_space_group_IT_number 216
_space_group_name_Hall 'F -4 2 3'
_cell_length_a 7.2464
_cell_length_b 7.2464
_cell_length_c 7.2464
_cell_angle_alpha 90.00
_cell_angle_beta 90.00
_cell_angle_gamma 90.00
loop_
_atom_site_label
_atom_site_type_symbol
_atom_site_fract_x
_atom_site_fract_y
_atom_site_fract_z
Ca1 Ca 0.0000 0.0000 0.0000
Pr1 Pr 0.0000 0.0000 0.5000
Au1 Au 0.2500 0.2500 0.7500
# Size of the total moment (μB/cell): 0.00

Energy relative to the most stable one, in eV/atom: P 0.170; Q 0.000; R 0.052

P.
# CaPrAu, relaxed, DFT PBE-GGA
data_CaPrAu
_space_group_name_H-M_alt 'P -6 2 m'
_space_group_IT_number 189
_space_group_name_Hall 'P -6 -2'
_cell_length_a 7.7636
_cell_length_b 7.7636
_cell_length_c 5.0142
_cell_angle_alpha 90.00
_cell_angle_beta 90.00
_cell_angle_gamma 120.00
loop_
_atom_site_label
_atom_site_type_symbol
_atom_site_fract_x
_atom_site_fract_y
_atom_site_fract_z
Ca1 Ca 0.0000 0.2587 0.0000
Pr1 Pr 0.0000 0.5931 0.5000
Au1 Au 0.0000 0.0000 0.5000
Au2 Au 0.3333 0.6667 0.0000
# Size of the total moment (μB/cell): 0.00

Q.
# CaPrAu, relaxed, DFT PBE-GGA
data_CaPrAu
_space_group_name_H-M_alt 'I 4 m m'
_space_group_IT_number 107
_space_group_name_Hall 'I 4 -2'
_cell_length_a 3.7153
_cell_length_b 3.7153
_cell_length_c 13.1773
_cell_angle_alpha 90.00
_cell_angle_beta 90.00
_cell_angle_gamma 90.00
loop_
_atom_site_label
_atom_site_type_symbol
_atom_site_fract_x
_atom_site_fract_y
_atom_site_fract_z
Ca1 Ca 0.0000 0.0000 0.0000
Pr1 Pr 0.0000 0.0000 0.2700
Au1 Au 0.0000 0.0000 0.6367
# Size of the total moment (μB/cell): 0.00

Energy relative to the most stable one, in eV/atom: P 0.000; Q 0.015